The following is a GGA-PBE calculation of a relaxed structure of Nb2ZnAu, from Alexandria.

Results
Calculated total energy in eV per atom: -5.83
DFT formation energy in eV/atom: 0.3466
Space group: I-42d (122)

a b c (Å): 7.4800 7.4800 5.9124
angles (deg): 50.76 50.76 90.00
With the nearest neighbours (Å) after each atom.
Fractional coordinates of all 8 atoms:
1 Au 0.7500 0.2500 0.5000  2 Zn 2.64, 4 Nb 2.74
2 Zn 0.5000 0.5000 0.0000  2 Au 2.64, 4 Nb 2.71
3 Zn 0.2500 0.7500 0.5000  2 Au 2.64, 4 Nb 2.71
4 Nb 0.6225 0.1250 0.2500  2 Nb 2.64, 2 Zn 2.71, 2 Au 2.74
5 Nb 0.8750 0.8725 0.7500  2 Nb 2.64, 2 Zn 2.71, 2 Au 2.74
6 Au 0.0000 0.0000 0.0000  2 Zn 2.64, 4 Nb 2.74
7 Nb 0.3750 0.3775 0.7500  2 Nb 2.64, 2 Zn 2.71, 2 Au 2.74
8 Nb 0.1275 0.6250 0.2500  2 Nb 2.64, 2 Zn 2.71, 2 Au 2.74